This record from the Alexandria database describes a geometry-optimized BeVTe structure. The functional is PBE.

Geometry as CIF:
```
data_BeVTe
_chemical_formula_sum 'Be2 V2 Te2'
_cell_length_a 3.551
_cell_length_b 4.358
_cell_length_c 8.789
_cell_angle_alpha 76.22
_cell_angle_beta 89.00
_cell_angle_gamma 66.00
_space_group_name_H-M_alt 'P 1'
_space_group_IT_number 1
_space_group_name_Hall 'P 1'
loop_
_atom_site_label
_atom_site_type_symbol
_atom_site_fract_x
_atom_site_fract_y
_atom_site_fract_z
Be1 Be 0.000 0.000 0.000
Be2 Be 0.423 0.146 0.097
V1 V 0.374 0.268 0.828
V2 V 0.698 0.606 0.990
Te1 Te 0.215 0.550 0.248
Te2 Te 0.642 0.747 0.670
```

Calculated values
**Raw formation energy**: -0.0553 eV/atom
**Polymorph energy (0 for the lowest one)**: 111 meV per atom